The following is a PBE calculation of an optimized crystal structure of CaCuRe2, from Alexandria via LeMat-Bulk.

The calculation puts the calculated formation energy at 0.564 eV/atom. For the energy above the most stable polymorph in this dataset, the calculation gives 0.281 eV/atom. Its magnetic moment is 0.00 μB per formula unit. For the raw total energy, the calculation gives -0.528 Ry/atom. The calculated density comes out at 11.86 Mg/m³.

It has space group Cmm2 (No. 35), with a = 3.269 Å, b = 4.466 Å, c = 9.129 Å, α = 90.00°, β = 90.00° and γ = 90.00°. Symmetry generates all atoms from Ca at (0.000, 0.000, 0.000), Cu at (0.000, 0.500, 0.270), Re at (0.000, 0.000, 0.494) and Re at (0.000, 0.500, 0.720).